# 1
This record from the Alexandria database describes crystalline NdTiCdSbO7 at its relaxed geometry. The functional is PBE-GGA.

## Properties
Mass density (g/cm³): 6.30
Total moment (μB/f.u.): 0.0
Formation energy from raw total energies (eV per formula unit): -25.65
DOS at the Fermi energy (states/eV/atom): 0.000
Total DFT energy (no corrections) (eV/atom): -7.10

Structure (extended XYZ):
```
44
Lattice="7.3650 0.0000 0.0000 0.0000 7.3650 0.0000 0.0000 0.0000 10.4645" Properties=species:S:1:pos:R:3 pbc="T T T"
Nd 0.0000 1.9464 0.0000
Nd 0.0000 5.4186 5.2322
Nd 1.9464 0.0000 7.8484
Nd 5.4186 0.0000 2.6161
Ti 0.0000 1.7536 5.2322
Ti 0.0000 5.6114 0.0000
Ti 1.7536 0.0000 2.6161
Ti 5.6114 0.0000 7.8484
Cd 1.9569 3.6825 7.8484
Cd 3.6825 1.9569 0.0000
Cd 3.6825 5.4082 5.2322
Cd 5.4082 3.6825 2.6161
Sb 1.7941 3.6825 2.6161
Sb 3.6825 1.7941 5.2322
Sb 3.6825 5.5710 0.0000
Sb 5.5710 3.6825 7.8484
O 0.3462 0.3462 3.9242
O 0.3462 7.0188 1.3081
O 0.3990 3.2724 3.9833
O 0.3990 4.0927 1.2490
O 1.7348 1.8394 1.8648
O 1.7348 5.5257 3.3674
O 1.8394 1.7348 5.9835
O 1.8394 5.6303 9.7132
O 1.9213 1.9213 9.1564
O 1.9213 5.4438 6.5403
O 3.2724 0.3990 3.8651
O 3.2724 6.9661 1.3672
O 3.2997 3.2997 3.9242
O 3.2997 4.0653 1.3081
O 4.0653 3.2997 6.5403
O 4.0653 4.0653 9.1564
O 4.0927 0.3990 6.5994
O 4.0927 6.9661 9.0973
O 5.4438 1.9213 1.3081
O 5.4438 5.4438 3.9242
O 5.5257 1.7348 4.4810
O 5.5257 5.6303 0.7513
O 5.6303 1.8394 8.5996
O 5.6303 5.5257 7.0971
O 6.9661 3.2724 6.4812
O 6.9661 4.0927 9.2155
O 7.0188 0.3462 6.5403
O 7.0188 7.0188 9.1564
```



# 2
This record from the Alexandria database describes crystalline NdTiCdSbO7 at its relaxed geometry. The functional is PBE-GGA.

## Properties
Mass density (g/cm³): 6.31
Total moment (μB/f.u.): 0.0
Formation energy from raw total energies (eV per formula unit): -25.65
DOS at the Fermi energy (states/eV/atom): 0.000
Total DFT energy (no corrections) (eV/atom): -7.10

Structure (extended XYZ):
```
22
Lattice="-3.6353 3.7665 5.1724 3.6353 -3.7665 5.1724 3.6353 3.7665 -5.1724" Properties=species:S:1:pos:R:3 pbc="T T T"
Nd 0.0000 0.0000 0.0000
Nd 0.0000 3.7665 0.0000
Ti -1.8177 1.8832 2.5862
Ti 1.8177 1.8832 2.5862
Cd 1.8177 1.8832 -2.5862
Cd 1.8177 -1.8832 2.5862
Sb 3.6353 0.0000 0.0000
Sb 0.0000 0.0000 5.1724
O 3.6353 -1.8832 3.8164
O 3.6353 1.8832 -0.8072
O 2.1669 0.4416 1.2674
O 5.1037 0.4416 1.2674
O 0.0000 1.8832 1.8377
O 2.1669 4.2081 -1.2674
O 1.4684 0.4416 3.9050
O 2.1669 3.3249 1.2674
O 1.4684 -0.4416 6.4398
O 3.6353 1.8832 3.3347
O -1.4684 3.3249 3.9050
O 1.4684 3.3249 3.9050
O 0.0000 1.8832 5.9796
O 0.0000 5.6497 1.3560
```



# 3
This record from the Alexandria database describes crystalline Nd2ScCdO at its relaxed geometry. The functional is PBE-GGA.

## Properties
Mass density (g/cm³): 6.79
Total moment (μB/f.u.): 0.0
Formation energy from raw total energies (eV per formula unit): -6.45
DOS at the Fermi energy (states/eV/atom): 0.894
Total DFT energy (no corrections) (eV/atom): -5.64

Structure (extended XYZ):
```
5
Lattice="5.1038 0.0000 0.0000 0.0000 5.1038 0.0000 0.0000 0.0000 4.3370" Properties=species:S:1:pos:R:3 pbc="T T T"
Nd 0.0000 2.5519 0.0000
Nd 2.5519 0.0000 0.0000
Sc 0.0000 0.0000 2.1685
Cd 2.5519 2.5519 2.1685
O 0.0000 0.0000 0.0000
```



# 4
This record from the Alexandria database describes crystalline Nd4CdSi3O13 at its relaxed geometry. The functional is PBE-GGA.

## Properties
Mass density (g/cm³): 5.79
Total moment (μB/f.u.): 0.0
Formation energy from raw total energies (eV per formula unit): -63.54
DOS at the Fermi energy (states/eV/atom): 0.000
Total DFT energy (no corrections) (eV/atom): -7.82

Structure (extended XYZ):
```
42
Lattice="9.6150 0.0000 0.0000 -4.8075 8.3268 0.0000 0.0000 0.0000 7.0316" Properties=species:S:1:pos:R:3 pbc="T T T"
Nd -3.5870 6.4107 0.0000
Nd 1.0492 2.0151 0.0000
Nd 2.2697 0.0989 3.5158
Nd 0.0000 5.5512 5.2423
Nd 4.8075 2.7756 1.7265
Nd 2.5378 8.2279 0.0000
Nd 3.7583 6.3117 3.5158
Nd 8.3945 1.9162 3.5158
Cd 0.0000 5.5512 1.7225
Cd 4.8075 2.7756 5.2382
Si -2.7430 5.2324 3.5243
Si 1.6476 3.3351 3.5243
Si 3.7121 0.2407 0.0086
Si 1.0954 8.0862 3.5243
Si 3.1599 4.9917 0.0086
Si 7.5505 3.0944 0.0086
O 0.0000 0.0000 0.3081
O 0.0000 0.0000 3.8239
O -2.9850 6.3266 2.3145
O -2.5436 6.1583 4.8756
O -1.3279 4.4059 3.3841
O -0.7386 4.0562 0.0650
O 0.8210 2.5784 2.3145
O 0.7460 3.0449 4.8756
O 2.6435 0.5782 5.8302
O -0.9254 6.9384 0.0650
O 3.0100 0.8763 1.3598
O -0.3279 7.2739 3.3841
O 1.6558 4.9738 3.3841
O 3.1434 2.6677 3.5808
O 1.6641 5.6591 0.0650
O 3.1517 3.3530 6.8999
O 5.1354 1.0529 6.8999
O 1.7975 7.4505 4.8756
O 5.7329 1.3884 3.5808
O 2.1640 7.7486 2.3145
O 4.0615 5.2820 1.3598
O 3.9865 5.7484 5.8302
O 5.5461 4.2707 3.5808
O 6.1354 3.9209 6.8999
O 7.3511 2.1685 1.3598
O 7.7925 2.0002 5.8302
```



# 5
This record from the Alexandria database describes crystalline Nd2SmCdO at its relaxed geometry. The functional is PBE-GGA.

## Properties
Mass density (g/cm³): 7.69
Total moment (μB/f.u.): 0.0
Formation energy from raw total energies (eV per formula unit): -6.42
DOS at the Fermi energy (states/eV/atom): 0.708
Total DFT energy (no corrections) (eV/atom): -5.31

Structure (extended XYZ):
```
5
Lattice="4.9929 0.0000 0.0000 0.0000 4.9929 0.0000 0.0000 0.0000 4.9126" Properties=species:S:1:pos:R:3 pbc="T T T"
Nd 0.0000 2.4964 0.0000
Nd 2.4964 0.0000 0.0000
Sm 0.0000 0.0000 2.4563
Cd 2.4964 2.4964 2.4563
O 0.0000 0.0000 0.0000
```



# 6
This record from the Alexandria database describes crystalline NdCdTc2O8 at its relaxed geometry. The functional is PBE-GGA.

## Properties
Mass density (g/cm³): 5.95
Total moment (μB/f.u.): 2.6
Formation energy from raw total energies (eV per formula unit): -20.61
DOS at the Fermi energy (states/eV/atom): 0.514
Total DFT energy (no corrections) (eV/atom): -7.22

Structure (extended XYZ):
```
12
Lattice="-2.6418 2.6418 5.8086 2.6418 -2.6418 5.8086 2.6418 2.6418 -5.8086" Properties=species:S:1:pos:R:3 pbc="T T T"
Nd 0.0000 0.0000 0.0000
Cd 2.6418 0.0000 2.9043
Tc 0.0000 0.0000 5.8086
Tc 0.0000 2.6418 2.9043
O 1.3241 -0.8340 4.8636
O 1.8078 1.3176 0.9449
O -0.8334 1.3358 1.9467
O 1.3176 3.4757 -0.9449
O 1.3060 1.8083 3.8618
O 0.8340 1.3241 6.7535
O 0.8334 3.9477 1.9467
O -1.3060 3.4752 3.8618
```



Q: What is the formula in the fifth record?
A: Nd2SmCdO



Q: What is the formula in the third record?
A: Nd2ScCdO



Q: Which of these has the lowest mass density?
A: Nd4CdSi3O13